Below is a relaxed structure of GdHoMnIr, with properties calculated at the GGA-PBE level.

Its size of the total moment is 3.84 μB/f.u. Its raw total energy is -9.467 eV/atom. The calculation puts the density of states at the Fermi level at 5.24 states/eV/f.u. As for the calculated volume: 335.8 Å³ per cell.

It has space group F-43m (No. 216), with a = 6.951 Å, b = 6.951 Å, c = 6.951 Å, α = 90.00°, β = 90.00° and γ = 90.00°. Symmetry generates all atoms from Gd at (0.000, 0.000, 0.000), Ho at (0.000, 0.000, 0.500), Mn at (0.250, 0.250, 0.750) and Ir at (0.250, 0.250, 0.250).

---

Below is a relaxed structure of Ac2ZnIn4Cu3, with properties calculated at the GGA-PBE level.

Its size of the total moment is 0.00 μB/f.u. Its raw total energy is -3.571 eV/atom. The calculation puts the density of states at the Fermi level at 5.95 states/eV/f.u. As for the calculated volume: 234.8 Å³ per cell.

It has space group P-4m2 (No. 115), with a = 4.657 Å, b = 4.657 Å, c = 10.823 Å, α = 90.00°, β = 90.00° and γ = 90.00°. Symmetry generates all atoms from Ac at (0.000, 0.500, 0.241), Zn at (0.500, 0.500, 0.000), In at (0.000, 0.000, 0.500), In at (0.000, 0.500, 0.871), In at (0.500, 0.500, 0.500), Cu at (0.000, 0.000, 0.000) and Cu at (0.000, 0.500, 0.631).

---

Below is a relaxed structure of Ca3PuU2N6, with properties calculated at the GGA-PBE level.

Its size of the total moment is 8.02 μB/f.u. Its raw total energy is -9.018 eV/atom. The calculation puts the density of states at the Fermi level at 12.57 states/eV/f.u. As for the calculated volume: 363.9 Å³ per cell.

It has space group C2/m (No. 12), with a = 15.215 Å, b = 3.511 Å, c = 6.996 Å, α = 90.00°, β = 103.10° and γ = 90.00°. Symmetry generates all atoms from Ca at (0.000, 0.000, 0.000), Ca at (0.165, 0.500, 0.334), Pu at (0.000, 0.000, 0.500), U at (0.166, 0.500, 0.830), N at (0.014, 0.500, 0.743), N at (0.164, 0.000, 0.612) and N at (0.176, 0.000, 0.061).

---

Below is a relaxed structure of PmSbRh, with properties calculated at the GGA-PBE level.

Its size of the total moment is 0.00 μB/f.u. As for the relative energy among the computed polymorphs: 522.3 meV per atom. The calculation puts the density of states at the Fermi level at 1.62 states/eV/f.u. As for the calculated volume: 145.7 Å³ per cell.

It has space group I4mm (No. 107), with a = 3.950 Å, b = 3.950 Å, c = 9.340 Å, α = 90.00°, β = 90.00° and γ = 90.00°. Symmetry generates all atoms from Pm at (0.000, 0.000, 0.000), Sb at (0.000, 0.000, 0.676) and Rh at (0.000, 0.000, 0.385).

---

Below is a relaxed structure of Sr2AlOs, with properties calculated at the GGA-PBE level.

Its size of the total moment is 0.00 μB/f.u. Its raw total energy is -4.455 eV/atom. The calculation puts the density of states at the Fermi level at 3.46 states/eV/f.u. As for the calculated volume: 235.8 Å³ per cell.

It has space group Amm2 (No. 38), with a = 4.336 Å, b = 4.759 Å, c = 11.428 Å, α = 90.00°, β = 90.00° and γ = 90.00°. Symmetry generates all atoms from Sr at (0.000, 0.000, 0.000), Sr at (0.500, 0.000, 0.282), Al at (0.000, 0.000, 0.690) and Os at (0.500, 0.000, 0.593).

---

Below is a relaxed structure of Ba2TiCrBr, with properties calculated at the GGA-PBE level.

Its size of the total moment is 0.00 μB/f.u. Its raw total energy is -4.460 eV/atom. The calculation puts the density of states at the Fermi level at 3.05 states/eV/f.u. As for the calculated volume: 167.1 Å³ per cell.

It has space group P4/mmm (No. 123), with a = 6.257 Å, b = 6.257 Å, c = 4.268 Å, α = 90.00°, β = 90.00° and γ = 90.00°. Symmetry generates all atoms from Ba at (0.000, 0.500, 0.000), Ti at (0.000, 0.000, 0.500), Cr at (0.000, 0.000, 0.000) and Br at (0.500, 0.500, 0.500).

---

Below is a relaxed structure of CaAg2Br, with properties calculated at the GGA-PBE level.

Its size of the total moment is 0.00 μB/f.u. As for the relative energy among the computed polymorphs: 0.0 meV per atom. The calculation puts the density of states at the Fermi level at 0.73 states/eV/f.u. As for the calculated volume: 107.2 Å³ per cell.

It has space group P4mm (No. 99), with a = 3.776 Å, b = 3.776 Å, c = 7.520 Å, α = 90.00°, β = 90.00° and γ = 90.00°. Symmetry generates all atoms from Ca at (0.000, 0.000, 0.000), Ag at (0.000, 0.000, 0.385), Ag at (0.500, 0.500, 0.281) and Br at (0.500, 0.500, 0.810).

---

Below is a relaxed structure of Pm4NiTe3, with properties calculated at the GGA-PBE level.

Its size of the total moment is 0.00 μB/f.u. Its raw total energy is -5.381 eV/atom. The calculation puts the density of states at the Fermi level at 5.69 states/eV/f.u. As for the calculated volume: 479.9 Å³ per cell.

It has space group Cmmm (No. 65), with a = 9.028 Å, b = 12.496 Å, c = 4.254 Å, α = 90.00°, β = 90.00° and γ = 90.00°. Symmetry generates all atoms from Pm at (0.000, 0.238, 0.000), Pm at (0.212, 0.000, 0.500), Ni at (0.000, 0.000, 0.000), Te at (0.000, 0.500, 0.000) and Te at (0.250, 0.250, 0.500).

---

Below is a relaxed structure of Mg3Ir5, with properties calculated at the GGA-PBE level.

Its size of the total moment is 0.00 μB/f.u. Its raw total energy is -6.286 eV/atom. The calculation puts the density of states at the Fermi level at 4.86 states/eV/f.u. As for the calculated volume: 120.7 Å³ per cell.

It has space group Pm (No. 6), with a = 2.767 Å, b = 8.433 Å, c = 5.352 Å, α = 90.00°, β = 104.93° and γ = 90.00°. Symmetry generates all atoms from Mg at (0.000, 0.000, 0.000), Mg at (0.224, 0.500, 0.447), Mg at (0.483, 0.500, 0.959), Ir at (0.261, 0.000, 0.516), Ir at (0.614, 0.237, 0.227) and Ir at (0.874, 0.256, 0.742).

---

Below is a relaxed structure of Th4InSi3Rh12, with properties calculated at the GGA-PBE level.

Its size of the total moment is 0.00 μB/f.u. Its raw total energy is -7.335 eV/atom. The calculation puts the density of states at the Fermi level at 19.37 states/eV/f.u. As for the calculated volume: 773.2 Å³ per cell.

It has space group Im-3m (No. 229), with a = 9.178 Å, b = 9.178 Å, c = 9.178 Å, α = 90.00°, β = 90.00° and γ = 90.00°. Symmetry generates all atoms from Th at (0.250, 0.250, 0.250), In at (0.000, 0.000, 0.000), Si at (0.000, 0.000, 0.500), Rh at (0.000, 0.000, 0.266) and Rh at (0.000, 0.250, 0.500).

---

Below is a relaxed structure of Ho2Ga2GeRu5, with properties calculated at the GGA-PBE level.

Its size of the total moment is 1.20 μB/f.u. Its raw total energy is -6.983 eV/atom. The calculation puts the density of states at the Fermi level at 9.79 states/eV/f.u. As for the calculated volume: 331.7 Å³ per cell.

It has space group P4/mbm (No. 127), with a = 9.971 Å, b = 9.971 Å, c = 3.337 Å, α = 90.00°, β = 90.00° and γ = 90.00°. Symmetry generates all atoms from Ho at (0.170, 0.330, 0.000), Ga at (0.130, 0.630, 0.000), Ge at (0.000, 0.000, 0.000), Ru at (0.000, 0.500, 0.500) and Ru at (0.061, 0.807, 0.500).

---

Below is a relaxed structure of H2S6F, with properties calculated at the GGA-PBE level.

Its size of the total moment is 0.00 μB/f.u. Its raw total energy is -3.886 eV/atom. The calculation puts the density of states at the Fermi level at 2.85 states/eV/f.u. As for the calculated volume: 219.9 Å³ per cell.

It has space group P-1 (No. 2), with a = 4.931 Å, b = 5.395 Å, c = 8.923 Å, α = 90.02°, β = 105.53° and γ = 105.33°. Symmetry generates all atoms from H at (0.234, 0.171, 0.079), S at (0.272, 0.875, 0.721), S at (0.285, 0.890, 0.493), S at (0.498, 0.371, 0.178) and F at (0.000, 0.000, 0.000).

---

Below is a relaxed structure of Ac2Al3Pd, with properties calculated at the GGA-PBE level.

Its size of the total moment is 0.00 μB/f.u. As for the relative energy among the computed polymorphs: 3.1 meV per atom. The calculation puts the density of states at the Fermi level at 4.11 states/eV/f.u. As for the calculated volume: 323.6 Å³ per cell.

It has space group Imm2 (No. 44), with a = 4.396 Å, b = 9.242 Å, c = 7.966 Å, α = 90.00°, β = 90.00° and γ = 90.00°. Symmetry generates all atoms from Ac at (0.000, 0.240, 0.000), Al at (0.000, 0.000, 0.328), Al at (0.000, 0.000, 0.654), Al at (0.000, 0.500, 0.325) and Pd at (0.000, 0.500, 0.654).

---

Below is a relaxed structure of KMg2Tc, with properties calculated at the GGA-PBE level.

Its size of the total moment is 0.42 μB/f.u. As for the relative energy among the computed polymorphs: 153.4 meV per atom. The calculation puts the density of states at the Fermi level at 4.13 states/eV/f.u. As for the calculated volume: 197.8 Å³ per cell.

It has space group C2/m (No. 12), with a = 9.184 Å, b = 2.858 Å, c = 7.547 Å, α = 90.00°, β = 93.19° and γ = 90.00°. Symmetry generates all atoms from K at (0.000, 0.000, 0.000), Mg at (0.237, 0.000, 0.667) and Tc at (0.000, 0.500, 0.500).

---

Below is a relaxed structure of Sr3GaH, with properties calculated at the GGA-PBE level.

Its size of the total moment is 0.00 μB/f.u. As for the relative energy among the computed polymorphs: 42.9 meV per atom. The calculation puts the density of states at the Fermi level at 2.26 states/eV/f.u. As for the calculated volume: 146.1 Å³ per cell.

It has space group Pm-3m (No. 221), with a = 5.267 Å, b = 5.267 Å, c = 5.267 Å, α = 90.00°, β = 90.00° and γ = 90.00°. Symmetry generates all atoms from Sr at (0.000, 0.000, 0.500), Ga at (0.500, 0.500, 0.500) and H at (0.000, 0.000, 0.000).

---

Below is a relaxed structure of Sn2N2Cl3, with properties calculated at the GGA-PBE level.

Its size of the total moment is 0.89 μB/f.u. Its raw total energy is -4.806 eV/atom. The calculation puts the density of states at the Fermi level at 1.17 states/eV/f.u. As for the calculated volume: 237.9 Å³ per cell.

It has space group P-1 (No. 2), with a = 4.104 Å, b = 6.202 Å, c = 9.564 Å, α = 91.83°, β = 102.06° and γ = 90.05°. Symmetry generates all atoms from Sn at (0.056, 0.314, 0.116), N at (0.393, 0.024, 0.458), Cl at (0.376, 0.486, 0.746) and Cl at (0.500, 0.000, 0.000).

---

Below is a relaxed structure of In6Hg3Bi, with properties calculated at the GGA-PBE level.

Its size of the total moment is 0.00 μB/f.u. Its raw total energy is -2.094 eV/atom. The calculation puts the density of states at the Fermi level at 3.69 states/eV/f.u. As for the calculated volume: 1136.3 Å³ per cell.

It has space group Cmc2_1 (No. 36), with a = 9.754 Å, b = 14.324 Å, c = 8.133 Å, α = 90.00°, β = 90.00° and γ = 90.00°. Symmetry generates all atoms from In at (0.000, 0.025, 0.000), In at (0.000, 0.269, 0.133), In at (0.187, 0.304, 0.482), In at (0.229, 0.425, 0.157), Hg at (0.000, 0.491, 0.432), Hg at (0.191, 0.115, 0.298) and Bi at (0.000, 0.203, 0.762).

---

Below is a relaxed structure of LaNbFe2, with properties calculated at the GGA-PBE level.

Its size of the total moment is 0.00 μB/f.u. Its raw total energy is -7.356 eV/atom. The calculation puts the density of states at the Fermi level at 1.78 states/eV/f.u. As for the calculated volume: 288.8 Å³ per cell.

It has space group I-42d (No. 122), with a = 6.910 Å, b = 6.910 Å, c = 6.049 Å, α = 90.00°, β = 90.00° and γ = 90.00°. Symmetry generates all atoms from La at (0.000, 0.000, 0.000), Nb at (0.000, 0.000, 0.500) and Fe at (0.222, 0.250, 0.625).

---

Below is a relaxed structure of CoPIr2, with properties calculated at the GGA-PBE level.

Its size of the total moment is 1.98 μB/f.u. As for the relative energy among the computed polymorphs: 211.0 meV per atom. The calculation puts the density of states at the Fermi level at 2.82 states/eV/f.u. As for the calculated volume: 104.1 Å³ per cell.

It has space group I4/mmm (No. 139), with a = 3.907 Å, b = 3.907 Å, c = 6.823 Å, α = 90.00°, β = 90.00° and γ = 90.00°. Symmetry generates all atoms from Co at (0.000, 0.000, 0.000), P at (0.000, 0.000, 0.500) and Ir at (0.000, 0.500, 0.250).

---

Below is a relaxed structure of ErSc2AlRh4, with properties calculated at the GGA-PBE level.

Its size of the total moment is 0.00 μB/f.u. Its raw total energy is -7.293 eV/atom. The calculation puts the density of states at the Fermi level at 2.18 states/eV/f.u. As for the calculated volume: 400.1 Å³ per cell.

It has space group R-3m (No. 166, hexagonal axes), with a = 4.5425 Å, b = 4.5425 Å, c = 22.3904 Å, α = 90.00°, β = 90.00° and γ = 120.00°. Symmetry generates all atoms from Er at (0.0000, 0.0000, 0.0000), Sc at (0.0000, 0.0000, 0.2442), Al at (0.0000, 0.0000, 0.5000), Rh at (0.0000, 0.0000, 0.1276) and Rh at (0.0000, 0.0000, 0.3803).

---

Below is a relaxed structure of In2FeAg, with properties calculated at the GGA-PBE level.

Its size of the total moment is 2.55 μB/f.u. As for the relative energy among the computed polymorphs: 83.8 meV per atom. The calculation puts the density of states at the Fermi level at 2.71 states/eV/f.u. As for the calculated volume: 154.9 Å³ per cell.

It has space group C2/m (No. 12), with a = 9.148 Å, b = 3.037 Å, c = 5.697 Å, α = 90.00°, β = 101.87° and γ = 90.00°. Symmetry generates all atoms from In at (0.244, 0.000, 0.236), Fe at (0.000, 0.500, 0.000) and Ag at (0.000, 0.000, 0.500).

---

Below is a relaxed structure of TiInCu, with properties calculated at the GGA-PBE level.

Its size of the total moment is 0.00 μB/f.u. Its raw total energy is -5.018 eV/atom. The calculation puts the density of states at the Fermi level at 2.03 states/eV/f.u. As for the calculated volume: 200.8 Å³ per cell.

It has space group Cmcm (No. 63), with a = 4.254 Å, b = 11.107 Å, c = 4.250 Å, α = 90.00°, β = 90.00° and γ = 90.00°. Symmetry generates all atoms from Ti at (0.000, 0.096, 0.250), In at (0.000, 0.402, 0.250) and Cu at (0.000, 0.248, 0.750).

---

Below is a relaxed structure of MoRhBr2, with properties calculated at the GGA-PBE level.

Its size of the total moment is 1.23 μB/f.u. As for the relative energy among the computed polymorphs: 193.6 meV per atom. The calculation puts the density of states at the Fermi level at 2.06 states/eV/f.u. As for the calculated volume: 201.6 Å³ per cell.

It has space group C2/m (No. 12), with a = 14.182 Å, b = 3.200 Å, c = 4.466 Å, α = 90.00°, β = 95.87° and γ = 90.00°. Symmetry generates all atoms from Mo at (0.000, 0.000, 0.000), Rh at (0.000, 0.500, 0.500) and Br at (0.139, 0.500, 0.206).

---

Below is a relaxed structure of InSi2Te, with properties calculated at the GGA-PBE level.

Its size of the total moment is 0.00 μB/f.u. As for the relative energy among the computed polymorphs: 74.9 meV per atom. The calculation puts the density of states at the Fermi level at 0.73 states/eV/f.u. As for the calculated volume: 97.6 Å³ per cell.

It has space group P4mm (No. 99), with a = 3.791 Å, b = 3.791 Å, c = 6.790 Å, α = 90.00°, β = 90.00° and γ = 90.00°. Symmetry generates all atoms from In at (0.000, 0.000, 0.000), Si at (0.000, 0.000, 0.389), Si at (0.500, 0.500, 0.414) and Te at (0.500, 0.500, 0.804).